Entry 1:
# PBE Ac3P2Se, optimized geometry
data_Ac3P2Se
_cell_length_a 4.444
_cell_length_b 6.300
_cell_length_c 7.724
_cell_angle_alpha 114.07
_cell_angle_beta 106.72
_cell_angle_gamma 90.00
_symmetry_space_group_name_H-M 'P 1'
_symmetry_Int_Tables_number 1
loop_
_symmetry_equiv_pos_as_xyz
'x,y,z'
loop_
_atom_site_label
_atom_site_type_symbol
_atom_site_fract_x
_atom_site_fract_y
_atom_site_fract_z
Ac1 Ac 0.824 0.324 0.149
Ac2 Ac 0.176 0.676 0.851
Ac3 Ac 0.500 0.000 0.500
P1 P 0.835 0.835 0.170
P2 P 0.165 0.165 0.830
Se1 Se 0.500 0.500 0.500
# Crystal system   orthorhombic
# Mass density   7.28 g/cm³
# Formation energy (no corrections)   -1674 meV/atom

Entry 2:
# PBE BaNd2Hg2, optimized geometry
data_BaNd2Hg2
_cell_length_a 3.936
_cell_length_b 4.042
_cell_length_c 10.988
_cell_angle_alpha 79.40
_cell_angle_beta 90.00
_cell_angle_gamma 90.00
_symmetry_space_group_name_H-M 'P 1'
_symmetry_Int_Tables_number 1
loop_
_symmetry_equiv_pos_as_xyz
'x,y,z'
loop_
_atom_site_label
_atom_site_type_symbol
_atom_site_fract_x
_atom_site_fract_y
_atom_site_fract_z
Ba1 Ba 0.000 0.000 0.000
Nd1 Nd 0.000 0.180 0.639
Nd2 Nd 0.000 0.820 0.361
Hg1 Hg 0.500 0.390 0.219
Hg2 Hg 0.500 0.610 0.781
# Crystal system   orthorhombic
# Mass density   7.99 g/cm³
# ΔH_f (0 K)   -0.289 eV/atom

Entry 3:
# PBE KC2F8, optimized geometry
data_KC2F8
_cell_length_a 5.500
_cell_length_b 5.752
_cell_length_c 8.513
_cell_angle_alpha 108.91
_cell_angle_beta 90.00
_cell_angle_gamma 118.56
_symmetry_space_group_name_H-M 'P 1'
_symmetry_Int_Tables_number 1
loop_
_symmetry_equiv_pos_as_xyz
'x,y,z'
loop_
_atom_site_label
_atom_site_type_symbol
_atom_site_fract_x
_atom_site_fract_y
_atom_site_fract_z
K1 K 0.000 0.000 0.000
C1 C 0.204 0.407 0.636
C2 C 0.796 0.593 0.364
F1 F 0.645 0.691 0.312
F2 F 0.955 0.309 0.688
F3 F 0.157 0.315 0.466
F4 F 0.843 0.685 0.534
F5 F 0.045 0.691 0.312
F6 F 0.355 0.309 0.688
F7 F 0.347 0.694 0.700
F8 F 0.653 0.306 0.300
# Crystal system   monoclinic
# Mass density   1.62 g/cm³
# Formation energy (no corrections)   -1606 meV/atom

Which of these has the highest mass density?
BaNd2Hg2